[1]
# AcNiTe PBE-GGA optimized geometry
# **Spin magnetization**: 0.6 μB/f.u.
# **Calculated volume**: 33.2 A^3/atom
# **VASP energy**: -4.441 eV per atom
data_AcNiTe
_chemical_formula_sum 'Ac1 Ni1 Te1'
_symmetry_space_group_name_H-M 'P 1'
_symmetry_Int_Tables_number 1
_cell_length_a 5.203
_cell_length_b 5.203
_cell_length_c 5.203
_cell_angle_alpha 60.00
_cell_angle_beta 60.00
_cell_angle_gamma 60.00
loop_
_symmetry_equiv_pos_as_xyz
'x,y,z'
loop_
_atom_site_label
_atom_site_type_symbol
_atom_site_fract_x
_atom_site_fract_y
_atom_site_fract_z
Ac1 Ac 0.000 0.000 0.000
Ni1 Ni 0.750 0.750 0.750
Te1 Te 0.250 0.250 0.250


[2]
# TmHOF PBE-GGA optimized geometry
# **Spin magnetization**: 0.0 μB/f.u.
# **Calculated volume**: 11.0 A^3/atom
# **VASP energy**: -6.129 eV per atom
data_TmHOF
_chemical_formula_sum 'Tm4 H4 O4 F4'
_symmetry_space_group_name_H-M 'P 1'
_symmetry_Int_Tables_number 1
_cell_length_a 5.003
_cell_length_b 6.456
_cell_length_c 6.615
_cell_angle_alpha 90.00
_cell_angle_beta 124.22
_cell_angle_gamma 90.00
loop_
_symmetry_equiv_pos_as_xyz
'x,y,z'
loop_
_atom_site_label
_atom_site_type_symbol
_atom_site_fract_x
_atom_site_fract_y
_atom_site_fract_z
Tm1 Tm 0.121 0.158 0.341
Tm2 Tm 0.121 0.342 0.841
Tm3 Tm 0.879 0.658 0.159
Tm4 Tm 0.879 0.842 0.659
H1 H 0.499 0.533 0.670
H2 H 0.499 0.967 0.170
H3 H 0.501 0.033 0.830
H4 H 0.501 0.467 0.330
O1 O 0.265 0.066 0.722
O2 O 0.265 0.434 0.222
O3 O 0.735 0.566 0.778
O4 O 0.735 0.934 0.278
F1 F 0.335 0.671 0.924
F2 F 0.335 0.829 0.424
F3 F 0.665 0.171 0.576
F4 F 0.665 0.329 0.076


[3]
# TmSc2Cu4Si2Ge2 PBE-GGA optimized geometry
# **Spin magnetization**: 0.0 μB/f.u.
# **Calculated volume**: 15.9 A^3/atom
# **VASP energy**: -5.357 eV per atom
data_TmSc2Cu4Si2Ge2
_chemical_formula_sum 'Tm1 Sc2 Cu4 Si2 Ge2'
_symmetry_space_group_name_H-M 'P 1'
_symmetry_Int_Tables_number 1
_cell_length_a 7.703
_cell_length_b 7.703
_cell_length_c 7.703
_cell_angle_alpha 149.99
_cell_angle_beta 129.39
_cell_angle_gamma 59.97
loop_
_symmetry_equiv_pos_as_xyz
'x,y,z'
loop_
_atom_site_label
_atom_site_type_symbol
_atom_site_fract_x
_atom_site_fract_y
_atom_site_fract_z
Tm1 Tm 0.000 0.000 0.000
Sc1 Sc 0.373 0.873 0.500
Sc2 Sc 0.627 0.127 0.500
Cu1 Cu 0.017 0.324 0.693
Cu2 Cu 0.369 0.676 0.693
Cu3 Cu 0.631 0.324 0.307
Cu4 Cu 0.983 0.676 0.307
Si1 Si 0.220 0.220 0.000
Si2 Si 0.780 0.780 0.000
Ge1 Ge 0.310 0.500 0.810
Ge2 Ge 0.690 0.500 0.190


calculated volume of number 1 (AcNiTe)?
33.2 A^3/atom


The highest calculated volume belongs to which entry?
AcNiTe


Which of these has the highest VASP energy?
AcNiTe